No. 1
SnS2N PBE optimized geometry; calculated total energy = -3.986 eV per atom; formation energy without anion corrections = 1.1601 eV/atom; magnetization = 0.0 Bohr magnetons per cell; space group = No. 166; distance to the lowest polymorph of the same formula = 672 meV per atom
1.0
3.2430 0.0000 0.0000
-1.6215 2.8085 0.0000
0.0000 0.0000 23.8883
Sn S N
3 6 3
direct
0.0000 0.0000 0.0000
0.3333 0.6667 0.6667
0.6667 0.3333 0.3333
0.0000 0.0000 0.1147
0.0000 0.0000 0.8853
0.3333 0.6667 0.5520
0.3333 0.6667 0.7814
0.6667 0.3333 0.2186
0.6667 0.3333 0.4480
0.0000 0.0000 0.5000
0.3333 0.6667 0.1667
0.6667 0.3333 0.8333

***

No. 2
SnS2N PBE optimized geometry; calculated total energy = -4.657 eV per atom; formation energy without anion corrections = 0.4885 eV/atom; magnetization = 0.0 Bohr magnetons per cell; space group = No. 166; distance to the lowest polymorph of the same formula = 0 meV per atom
1.0
3.6744 0.0000 0.0000
-1.8372 3.1821 0.0000
0.0000 0.0000 21.7104
Sn S N
3 6 3
direct
0.0000 0.0000 0.0000
0.3333 0.6667 0.6667
0.6667 0.3333 0.3333
0.0000 0.0000 0.4280
0.0000 0.0000 0.5720
0.3333 0.6667 0.0947
0.3333 0.6667 0.2387
0.6667 0.3333 0.7613
0.6667 0.3333 0.9053
0.0000 0.0000 0.5000
0.3333 0.6667 0.1667
0.6667 0.3333 0.8333

***

No. 3
Sn3SN PBE optimized geometry; calculated total energy = -4.384 eV per atom; formation energy without anion corrections = 0.5079 eV/atom; magnetization = 0.0 Bohr magnetons per cell; space group = No. 221; distance to the lowest polymorph of the same formula = 0 meV per atom
1.0
4.8652 0.0000 0.0000
0.0000 4.8652 0.0000
0.0000 0.0000 4.8652
Sn S N
3 1 1
direct
0.0000 0.0000 0.5000
0.0000 0.5000 0.0000
0.5000 0.0000 0.0000
0.5000 0.5000 0.5000
0.0000 0.0000 0.0000

***

No. 4
SnS2N PBE optimized geometry; calculated total energy = -4.322 eV per atom; formation energy without anion corrections = 0.8240 eV/atom; magnetization = 0.0 Bohr magnetons per cell; space group = No. 122; distance to the lowest polymorph of the same formula = 336 meV per atom
1.0
5.6291 0.0000 0.0000
0.0000 5.6291 0.0000
0.0000 0.0000 10.1345
Sn S N
4 8 4
direct
0.0000 0.0000 0.0000
0.0000 0.5000 0.2500
0.5000 0.0000 0.7500
0.5000 0.5000 0.5000
0.1020 0.2500 0.6250
0.2500 0.6020 0.8750
0.2500 0.8980 0.3750
0.3980 0.2500 0.1250
0.6020 0.7500 0.1250
0.7500 0.1020 0.3750
0.7500 0.3980 0.8750
0.8980 0.7500 0.6250
0.0000 0.0000 0.5000
0.0000 0.5000 0.7500
0.5000 0.0000 0.2500
0.5000 0.5000 0.0000

***

Which value of formation energy without anion corrections does entry 2 give?
0.4885 eV/atom